{
  "formula": "AgMo2O6",
  "functional": "GGA+U",
  "state": "optimized geometry",
  "e_above_lowest_polymorph_mev_per_atom": 44,
  "total_energy_ry_per_atom": -0.4733,
  "spacegroup": "C2/c (15)",
  "lattice_angstrom": [[-1.594, -4.224, 3.728], [4.198, -5.767, -3.263], [6.544, 0.044, 4.325]],
  "species": ["Ag", "Ag", "Mo", "Mo", "Mo", "Mo", "O", "O", "O", "O", "O", "O", "O", "O", "O", "O", "O", "O"],
  "frac_coords": [[0.250, 0.119, 0.881], [0.750, 0.881, 0.119], [0.119, 0.648, 0.856], [0.381, 0.144, 0.352], [0.881, 0.352, 0.144], [0.619, 0.856, 0.648], [0.406, 0.683, 0.705], [0.094, 0.295, 0.317], [0.594, 0.317, 0.295], [0.906, 0.705, 0.683], [0.684, 0.954, 0.411], [0.816, 0.589, 0.046], [0.316, 0.046, 0.589], [0.184, 0.411, 0.954], [0.138, 0.810, 0.976], [0.362, 0.024, 0.190], [0.862, 0.190, 0.024], [0.638, 0.976, 0.810]]
}